VASP calculation (PBE) on a geometry-optimized SmPa2Fe structure.

Calculated values
Calculated volume ... 98.9 Å³/cell
Space-group type ... R-3m
Density ... 11.22 g cm⁻³
Energy relative to the lowest polymorph listed for this composition ... 0.00 eV/f.u.

Cell lengths 9.067, 9.067, 9.067 Å; angles 22.88, 22.88, 22.88 degrees
Sites, in units of the cell vectors:
Sm  0.000  0.000  0.000
Pa  0.226  0.226  0.226
Pa  0.774  0.774  0.774
Fe  0.500  0.500  0.500

VASP calculation (PBE) on a geometry-optimized SmPa2Fe structure.

Calculated values
Calculated volume ... 94.5 Å³/cell
Space-group type ... P4/mmm
Density ... 11.74 g cm⁻³
Energy relative to the lowest polymorph listed for this composition ... 0.16 eV/f.u.

Cell lengths 3.417, 3.417, 8.098 Å; angles 90.00, 90.00, 90.00 degrees
Sites, in units of the cell vectors:
Sm  0.000  0.000  0.000
Pa  0.500  0.500  0.324
Pa  0.500  0.500  0.676
Fe  0.000  0.000  0.500

VASP calculation (PBE) on a geometry-optimized Sm2PaFe9 structure.

Calculated values
Calculated volume ... 370.6 Å³/cell
Space-group type ... P6_3/mmc
Density ... 9.27 g cm⁻³
Electronic total energy ... -7.93 eV per atom

Cell lengths 5.067, 5.067, 16.667 Å; angles 90.00, 90.00, 120.00 degrees
Sites, in units of the cell vectors:
Sm  0.333  0.667  0.038
Sm  0.333  0.667  0.462
Sm  0.667  0.333  0.538
Sm  0.667  0.333  0.962
Pa  0.333  0.667  0.250
Pa  0.667  0.333  0.750
Fe  0.000  0.000  0.000
Fe  0.000  0.000  0.250
Fe  0.000  0.000  0.500
Fe  0.000  0.000  0.750
Fe  0.166  0.331  0.629
Fe  0.166  0.331  0.871
Fe  0.166  0.834  0.629
Fe  0.166  0.834  0.871
Fe  0.331  0.166  0.129
Fe  0.331  0.166  0.371
Fe  0.333  0.667  0.750
Fe  0.667  0.333  0.250
Fe  0.669  0.834  0.629
Fe  0.669  0.834  0.871
Fe  0.834  0.166  0.129
Fe  0.834  0.166  0.371
Fe  0.834  0.669  0.129
Fe  0.834  0.669  0.371

VASP calculation (PBE) on a geometry-optimized Sm3PaFe8 structure.

Calculated values
Calculated volume ... 196.0 Å³/cell
Space-group type ... R3m
Density ... 9.56 g cm⁻³
Electronic total energy ... -7.62 eV per atom

Cell lengths 8.955, 8.955, 8.955 Å; angles 33.61, 33.61, 33.61 degrees
Sites, in units of the cell vectors:
Sm  0.000  0.000  0.000
Sm  0.125  0.125  0.125
Sm  0.626  0.626  0.626
Pa  0.500  0.500  0.500
Fe  0.062  0.062  0.560
Fe  0.062  0.560  0.062
Fe  0.068  0.562  0.562
Fe  0.313  0.313  0.313
Fe  0.560  0.062  0.062
Fe  0.562  0.068  0.562
Fe  0.562  0.562  0.068
Fe  0.813  0.813  0.813

VASP calculation (PBE) on a geometry-optimized SmPaFeTc structure.

Calculated values
Calculated volume ... 80.5 Å³/cell
Space-group type ... F-43m
Density ... 11.05 g cm⁻³
Electronic total energy ... -8.16 eV per atom

Cell lengths 4.846, 4.846, 4.846 Å; angles 60.00, 60.00, 60.00 degrees
Sites, in units of the cell vectors:
Sm  0.000  0.000  0.000
Pa  0.500  0.500  0.500
Fe  0.250  0.250  0.250
Tc  0.750  0.750  0.750

VASP calculation (PBE) on a geometry-optimized PaFe2Sn structure.

Calculated values
Calculated volume ... 70.4 Å³/cell
Space-group type ... P4/mmm
Density ... 10.88 g cm⁻³
Energy relative to the lowest polymorph listed for this composition ... 1.18 eV/f.u.

Cell lengths 3.321, 3.321, 6.382 Å; angles 90.00, 90.00, 90.00 degrees
Sites, in units of the cell vectors:
Pa  0.000  0.000  0.000
Fe  0.500  0.500  0.228
Fe  0.500  0.500  0.772
Sn  0.000  0.000  0.500

VASP calculation (PBE) on a geometry-optimized Pa2FeSn structure.

Calculated values
Calculated volume ... 85.3 Å³/cell
Space-group type ... P4/mmm
Density ... 12.40 g cm⁻³
Energy relative to the lowest polymorph listed for this composition ... 0.00 eV/f.u.

Cell lengths 3.161, 3.161, 8.535 Å; angles 90.00, 90.00, 90.00 degrees
Sites, in units of the cell vectors:
Pa  0.000  0.000  0.207
Pa  0.000  0.000  0.793
Fe  0.500  0.500  0.000
Sn  0.500  0.500  0.500

VASP calculation (PBE) on a geometry-optimized PaFe2Sn structure.

Calculated values
Calculated volume ... 67.6 Å³/cell
Space-group type ... P4/mmm
Density ... 11.33 g cm⁻³
Energy relative to the lowest polymorph listed for this composition ... 0.53 eV/f.u.

Cell lengths 4.509, 4.509, 3.325 Å; angles 90.00, 90.00, 90.00 degrees
Sites, in units of the cell vectors:
Pa  0.000  0.000  0.000
Fe  0.000  0.500  0.500
Fe  0.500  0.000  0.500
Sn  0.500  0.500  0.000

VASP calculation (PBE) on a geometry-optimized PaFe2Sn structure.

Calculated values
Calculated volume ... 141.6 Å³/cell
Space-group type ... P-1
Density ... 10.82 g cm⁻³
Energy relative to the lowest polymorph listed for this composition ... 0.13 eV/f.u.

Cell lengths 4.854, 5.372, 5.997 Å; angles 91.41, 111.50, 101.72 degrees
Sites, in units of the cell vectors:
Pa  0.172  0.315  0.223
Pa  0.828  0.685  0.777
Fe  0.111  0.738  0.395
Fe  0.345  0.606  0.805
Fe  0.655  0.394  0.195
Fe  0.889  0.262  0.605
Sn  0.428  0.122  0.761
Sn  0.572  0.878  0.239

VASP calculation (PBE) on a geometry-optimized PaFe4Sn structure.

Calculated values
Calculated volume ... 91.5 Å³/cell
Space-group type ... F-43m
Density ... 10.40 g cm⁻³
Electronic total energy ... -7.96 eV per atom

Cell lengths 5.058, 5.058, 5.058 Å; angles 60.00, 60.00, 60.00 degrees
Sites, in units of the cell vectors:
Pa  0.000  0.000  0.000
Fe  0.375  0.375  0.375
Fe  0.375  0.375  0.875
Fe  0.375  0.875  0.375
Fe  0.875  0.375  0.375
Sn  0.750  0.750  0.750

VASP calculation (PBE) on a geometry-optimized PaFeSn2 structure.

Calculated values
Calculated volume ... 90.8 Å³/cell
Space-group type ... R-3m
Density ... 9.59 g cm⁻³
Electronic total energy ... -6.17 eV per atom

Cell lengths 10.692, 10.692, 10.692 Å; angles 16.97, 16.97, 16.97 degrees
Sites, in units of the cell vectors:
Pa  0.000  0.000  0.000
Fe  0.500  0.500  0.500
Sn  0.102  0.102  0.102
Sn  0.898  0.898  0.898

VASP calculation (PBE) on a geometry-optimized Pa2Fe3Sn2 structure.

Calculated values
Calculated volume ... 134.4 Å³/cell
Space-group type ... C2/m
Density ... 10.71 g cm⁻³
Electronic total energy ... -7.82 eV per atom

Cell lengths 6.465, 6.465, 4.951 Å; angles 97.69, 97.69, 41.01 degrees
Sites, in units of the cell vectors:
Pa  0.149  0.149  0.363
Pa  0.851  0.851  0.637
Fe  0.000  0.000  0.000
Fe  0.204  0.204  0.800
Fe  0.796  0.796  0.200
Sn  0.404  0.404  0.156
Sn  0.596  0.596  0.844